# 1
VASP calculation (PBE-GGA) on a relaxed TeMoRh3 crystal.

Computed properties:
E_form (uncorrected): 0.98 eV/atom
raw total energy: -6.23 eV per atom
offset from the most stable computed form: 0 meV per atom

CIF file:
```
data_TeMoRh3
_chemical_formula_sum 'Te1 Mo1 Rh3'
_cell_length_a 4.717
_cell_length_b 4.717
_cell_length_c 4.717
_cell_angle_alpha 90.00
_cell_angle_beta 90.00
_cell_angle_gamma 90.00
_symmetry_space_group_name_H-M 'P 1'
_symmetry_Int_Tables_number 1
_symmetry_space_group_name_Hall 'P 1'
loop_
_atom_site_label
_atom_site_fract_x
_atom_site_fract_y
_atom_site_fract_z
Te1 0.000 0.000 0.000
Mo1 0.500 0.500 0.500
Rh1 0.000 0.500 0.500
Rh2 0.500 0.000 0.500
Rh3 0.500 0.500 0.000
```

---

# 2
VASP calculation (PBE-GGA) on a relaxed LaYBiSb crystal.

Computed properties:
E_form (uncorrected): -1.10 eV/atom
raw total energy: -5.95 eV per atom

CIF file:
```
data_LaYBiSb
_chemical_formula_sum 'La1 Y1 Bi1 Sb1'
_cell_length_a 7.862
_cell_length_b 7.862
_cell_length_c 7.862
_cell_angle_alpha 33.70
_cell_angle_beta 33.70
_cell_angle_gamma 33.70
_symmetry_space_group_name_H-M 'P 1'
_symmetry_Int_Tables_number 1
_symmetry_space_group_name_Hall 'P 1'
loop_
_atom_site_label
_atom_site_fract_x
_atom_site_fract_y
_atom_site_fract_z
La1 0.000 0.000 0.000
Y1 0.504 0.504 0.504
Bi1 0.756 0.756 0.756
Sb1 0.248 0.248 0.248
```